A relaxed structure of RbMnRh2. Source: Alexandria, functional PBE-GGA.

Values from the calculation:
* symmetry: I-42d
* total magnetization: 0.000 μB per atom
* DFT total energy: -41.4 eV for the cell shown
* calculated formation energy: 1039 meV/atom
* excess energy over the best structure of this formula in the dataset: 0.0 meV per atom

Cell: 8.0848 8.0848 8.0848 Å, 140.49 140.49 57.11°
Closest atoms and distances in Å follow each position.
Fractional positions:
Rb 0.0000 0.0000 0.0000  8 Rh 3.37-3.71
Rb 0.7500 0.2500 0.5000  8 Rh 3.37-3.71
Mn 0.2500 0.7500 0.5000  4 Rh 2.25
Mn 0.5000 0.5000 0.0000  4 Rh 2.25
Rh 0.3348 0.6250 0.2098  2 Mn 2.25
Rh 0.3750 0.5848 0.7098  2 Mn 2.25
Rh 0.4152 0.1250 0.7902  2 Mn 2.25
Rh 0.8750 0.6652 0.2902  2 Mn 2.25



A relaxed structure of Pb2AuS2. Source: Alexandria, functional PBE-GGA.

Values from the calculation:
* symmetry: P4/mbm
* total magnetization: 0.000 μB per atom
* energy relative to the elements, uncorrected: -0.0261 eV/atom
* DFT total energy: -38.2 eV for the cell shown
* excess energy over the best structure of this formula in the dataset: 232.9 meV per atom

Cell: 8.0647 8.0647 3.8431 Å, 90.00 90.00 90.00°
Closest atoms and distances in Å follow each position.
Fractional positions:
Pb 0.1639 0.3361 0.0000  2 S 2.82, 2 Au 3.02
Pb 0.3361 0.8361 0.0000  2 S 2.82, 2 Au 3.02
Pb 0.6639 0.1639 0.0000  2 S 2.82, 2 Au 3.02
Pb 0.8361 0.6639 0.0000  2 S 2.82, 2 Au 3.02
Au 0.0000 0.0000 0.0000  4 Pb 3.02
Au 0.5000 0.5000 0.0000  4 Pb 3.02
S 0.1551 0.6551 0.5000  2 Pb 2.82
S 0.3449 0.1551 0.5000  2 Pb 2.82
S 0.6551 0.8449 0.5000  2 Pb 2.82
S 0.8449 0.3449 0.5000  2 Pb 2.82



A relaxed structure of Ba2NiP. Source: Alexandria, functional PBE-GGA.

Values from the calculation:
* symmetry: R-3m
* total magnetization: 0.262 μB per atom
* DFT total energy: -15.7 eV for the cell shown
* calculated formation energy: -167 meV/atom

Cell: 8.0218 8.0218 8.0218 Å, 33.67 33.67 33.67°
Closest atoms and distances in Å follow each position.
Fractional positions:
Ba 0.2452 0.2452 0.2452  3 P 3.22, 3 Ni 3.35
Ba 0.7548 0.7548 0.7548  3 P 3.22, 3 Ni 3.35
Ni 0.0000 0.0000 0.0000  6 Ba 3.35
P 0.5000 0.5000 0.5000  6 Ba 3.22



A relaxed structure of AcNi2Pt2. Source: Alexandria, functional PBE-GGA.

Values from the calculation:
* symmetry: P-1
* total magnetization: 0.084 μB per atom
* DFT total energy: -60.3 eV for the cell shown
* calculated formation energy: -476 meV/atom

Cell: 5.7913 6.3221 6.5232 Å, 86.07 65.86 64.78°
Closest atoms and distances in Å follow each position.
Fractional positions:
Ac 0.1271 0.2471 0.2624  4 Ni 2.99-3.21, 3 Pt 3.13-3.32
Ac 0.8729 0.7529 0.7376  4 Ni 2.99-3.21, 3 Pt 3.13-3.32
Ni 0.1882 0.8148 0.9796  2 Ni 2.36-2.49, 4 Pt 2.47-2.53
Ni 0.4663 0.6888 0.5642  2 Ni 2.40-2.49, 4 Pt 2.48-2.54
Ni 0.5337 0.3112 0.4358  2 Ni 2.40-2.49, 4 Pt 2.48-2.54
Ni 0.8118 0.1852 0.0204  2 Ni 2.36-2.49, 4 Pt 2.47-2.53
Pt 0.2899 0.1111 0.7235  4 Ni 2.48-2.54, 1 Pt 2.75
Pt 0.4979 0.6167 0.1742  4 Ni 2.47-2.53, 1 Pt 2.75
Pt 0.5021 0.3833 0.8258  4 Ni 2.47-2.53, 1 Pt 2.75
Pt 0.7101 0.8889 0.2765  4 Ni 2.48-2.54, 1 Pt 2.75